AcBPd3 | Alexandria via LeMat-Bulk | PBE-GGA | optimized geometry; crystal system = orthorhombic; energy above the lowest structure with this stoichiometry = 0 meV/atom; E_form = -0.5467 eV per atom
1.0
-3.292 4.553 2.995
3.292 -4.553 2.995
3.292 4.553 -2.995
Ac B Pd
2 2 6
Direct
0.308 0.058 0.250
0.692 0.942 0.750
0.000 0.500 0.500
0.500 0.500 0.000
0.197 0.447 0.750
0.221 0.000 0.721
0.221 0.500 0.221
0.779 0.000 0.279
0.779 0.500 0.779
0.803 0.553 0.250

Ac2BPd7 | Alexandria via LeMat-Bulk | PBE-GGA | optimized geometry; crystal system = cubic; E_form = -0.5103 eV per atom
1.0
0.000 4.687 4.687
4.687 0.000 4.687
4.687 4.687 0.000
Ac B Pd
2 1 7
Direct
0.250 0.250 0.250
0.750 0.750 0.750
0.000 0.000 0.000
0.222 0.222 0.778
0.222 0.778 0.222
0.222 0.778 0.778
0.500 0.500 0.500
0.778 0.222 0.222
0.778 0.222 0.778
0.778 0.778 0.222

AcBPd3 | Alexandria via LeMat-Bulk | PBE-GGA | optimized geometry; crystal system = cubic; energy above the lowest structure with this stoichiometry = 31 meV/atom; E_form = -0.5160 eV per atom
1.0
4.482 0.000 0.000
0.000 4.482 0.000
0.000 0.000 4.482
Ac B Pd
1 1 3
Direct
0.000 0.000 0.000
0.500 0.500 0.500
0.000 0.500 0.500
0.500 0.000 0.500
0.500 0.500 0.000

AcBPd | Alexandria via LeMat-Bulk | PBE-GGA | optimized geometry; crystal system = trigonal; E_form = -0.0431 eV per atom
1.0
1.812 1.046 10.387
-1.812 1.046 10.387
0.000 -2.093 10.387
Ac B Pd
2 2 2
Direct
0.069 0.069 0.069
0.931 0.931 0.931
0.334 0.334 0.334
0.666 0.666 0.666
0.194 0.194 0.194
0.806 0.806 0.806

Ac3BPd8 | Alexandria via LeMat-Bulk | PBE-GGA | optimized geometry; crystal system = trigonal; E_form = -0.5762 eV per atom
1.0
5.636 0.000 0.000
-2.818 4.881 0.000
0.000 0.000 9.352
Ac B Pd
3 1 8
Direct
0.000 0.000 0.000
0.000 0.000 0.404
0.667 0.333 0.613
0.667 0.333 0.096
0.006 0.503 0.220
0.167 0.334 0.719
0.167 0.833 0.719
0.333 0.667 0.472
0.333 0.667 0.967
0.497 0.503 0.220
0.497 0.994 0.220
0.666 0.833 0.719

AcB2Pd7 | Alexandria via LeMat-Bulk | PBE-GGA | optimized geometry; crystal system = orthorhombic; E_form = -0.2455 eV per atom
1.0
3.465 -5.947 0.000
3.465 5.947 0.000
0.000 0.000 4.180
Ac B Pd
1 2 7
Direct
0.000 0.000 0.000
0.314 0.686 0.500
0.686 0.314 0.500
0.053 0.342 0.500
0.277 0.723 0.000
0.342 0.053 0.500
0.500 0.500 0.500
0.658 0.947 0.500
0.723 0.277 0.000
0.947 0.658 0.500

Ac2BPd6 | Alexandria via LeMat-Bulk | PBE-GGA | optimized geometry; crystal system = cubic; E_form = -0.6822 eV per atom
1.0
0.000 4.390 4.390
4.390 0.000 4.390
4.390 4.390 0.000
Ac B Pd
2 1 6
Direct
0.250 0.250 0.250
0.750 0.750 0.750
0.000 0.000 0.000
0.253 0.253 0.747
0.253 0.747 0.253
0.253 0.747 0.747
0.747 0.253 0.253
0.747 0.253 0.747
0.747 0.747 0.253

AcB2Pd8 | Alexandria via LeMat-Bulk | PBE-GGA | optimized geometry; crystal system = tetragonal; E_form = -0.0359 eV per atom
1.0
5.336 0.000 0.000
0.000 5.336 0.000
0.000 0.000 7.433
Ac B Pd
1 2 8
Direct
0.000 0.000 0.000
0.000 0.500 0.500
0.500 0.000 0.500
0.252 0.252 0.320
0.252 0.252 0.680
0.252 0.748 0.320
0.252 0.748 0.680
0.748 0.252 0.320
0.748 0.252 0.680
0.748 0.748 0.320
0.748 0.748 0.680

Ac4BPd12 | Alexandria via LeMat-Bulk | PBE-GGA | optimized geometry; crystal system = cubic; E_form = -0.7439 eV per atom
1.0
-4.349 4.349 4.349
4.349 -4.349 4.349
4.349 4.349 -4.349
Ac B Pd
4 1 12
Direct
0.000 0.000 0.500
0.000 0.500 0.000
0.500 0.000 0.000
0.500 0.500 0.500
0.000 0.000 0.000
0.000 0.254 0.254
0.000 0.746 0.746
0.250 0.500 0.750
0.250 0.750 0.500
0.254 0.000 0.254
0.254 0.254 0.000
0.500 0.250 0.750
0.500 0.750 0.250
0.746 0.000 0.746
0.746 0.746 0.000
0.750 0.250 0.500
0.750 0.500 0.250

Ac2BPd6Pt | Alexandria via LeMat-Bulk | PBE-GGA | optimized geometry; crystal system = trigonal; E_form = -0.6467 eV per atom
1.0
5.818 0.000 0.000
-2.909 5.038 0.000
0.000 0.000 6.647
Ac B Pd Pt
2 1 6 1
Direct
0.333 0.667 0.341
0.667 0.333 0.659
0.000 0.000 0.000
0.175 0.350 0.824
0.175 0.825 0.824
0.350 0.175 0.176
0.650 0.825 0.824
0.825 0.175 0.176
0.825 0.650 0.176
0.000 0.000 0.500

Ac2BPd4Pt2 | Alexandria via LeMat-Bulk | PBE-GGA | optimized geometry; crystal system = tetragonal; E_form = -0.7655 eV per atom
1.0
-3.105 3.105 4.409
3.105 -3.105 4.409
3.105 3.105 -4.409
Ac B Pd Pt
2 1 4 2
Direct
0.250 0.750 0.500
0.750 0.250 0.500
0.000 0.000 0.000
0.262 0.262 0.523
0.262 0.738 0.000
0.738 0.262 0.000
0.738 0.738 0.477
0.240 0.240 0.000
0.760 0.760 0.000

Ac3B2Pd9Rh | Alexandria via LeMat-Bulk | PBE-GGA | optimized geometry; crystal system = trigonal; E_form = -0.5707 eV per atom
1.0
5.889 0.000 0.000
-2.945 5.100 0.000
0.000 0.000 9.567
Ac B Pd Rh
3 2 9 1
Direct
0.000 0.000 0.000
0.333 0.667 0.603
0.667 0.333 0.397
0.333 0.667 0.145
0.667 0.333 0.855
0.000 0.500 0.000
0.165 0.331 0.273
0.165 0.835 0.273
0.331 0.165 0.727
0.500 0.000 0.000
0.500 0.500 0.000
0.669 0.835 0.273
0.835 0.165 0.727
0.835 0.669 0.727
0.000 0.000 0.500

AcBPdRh2 | Alexandria via LeMat-Bulk | PBE-GGA | optimized geometry; crystal system = tetragonal; E_form = -0.6524 eV per atom
1.0
4.359 0.000 0.000
0.000 4.359 0.000
0.000 0.000 4.410
Ac B Pd Rh
1 1 1 2
Direct
0.000 0.000 0.000
0.500 0.500 0.500
0.500 0.500 0.000
0.000 0.500 0.500
0.500 0.000 0.500

Ac3BPd2Rh3 | Alexandria via LeMat-Bulk | PBE-GGA | optimized geometry; crystal system = hexagonal; E_form = -0.5364 eV per atom
1.0
7.705 0.000 0.000
-3.852 6.672 0.000
0.000 0.000 3.709
Ac B Pd Rh
3 1 2 3
Direct
0.000 0.376 0.000
0.376 0.000 0.000
0.624 0.624 0.000
0.000 0.000 0.000
0.333 0.667 0.500
0.667 0.333 0.500
0.000 0.795 0.500
0.205 0.205 0.500
0.795 0.000 0.500

AcBSbPd6 | Alexandria via LeMat-Bulk | PBE-GGA | optimized geometry; crystal system = orthorhombic; formation energy without anion corrections = -354.6 meV per atom
1.0
-3.479 4.323 5.767
3.479 -4.323 5.767
3.479 4.323 -5.767
Ac B Sb Pd
2 2 2 12
Direct
0.439 0.189 0.250
0.561 0.811 0.750
0.000 0.500 0.500
0.500 0.500 0.000
0.000 0.000 0.500
0.000 0.500 0.000
0.117 0.404 0.277
0.117 0.841 0.714
0.176 0.926 0.250
0.281 0.531 0.750
0.373 0.159 0.777
0.373 0.596 0.214
0.627 0.404 0.786
0.627 0.841 0.223
0.719 0.469 0.250
0.824 0.074 0.750
0.883 0.159 0.286
0.883 0.596 0.723

AcSiBPd6 | Alexandria via LeMat-Bulk | PBE-GGA | optimized geometry; crystal system = orthorhombic; formation energy without anion corrections = -471.2 meV per atom
1.0
-3.677 4.090 5.616
3.677 -4.090 5.616
3.677 4.090 -5.616
Ac Si B Pd
2 2 2 12
Direct
0.416 0.166 0.250
0.584 0.834 0.750
0.000 0.000 0.500
0.000 0.500 0.000
0.000 0.500 0.500
0.500 0.500 0.000
0.100 0.416 0.267
0.100 0.833 0.684
0.129 0.879 0.250
0.302 0.552 0.750
0.351 0.167 0.767
0.351 0.584 0.184
0.649 0.416 0.816
0.649 0.833 0.233
0.698 0.448 0.250
0.871 0.121 0.750
0.900 0.167 0.316
0.900 0.584 0.733

Ac2SiBPd6 | Alexandria via LeMat-Bulk | PBE-GGA | optimized geometry; crystal system = triclinic; formation energy without anion corrections = -730.2 meV per atom
1.0
5.957 0.000 0.000
2.971 5.172 0.000
0.004 3.434 6.222
Ac Si B Pd
2 1 1 6
Direct
0.226 0.047 0.180
0.774 0.953 0.820
0.500 0.500 0.000
0.000 0.500 0.500
0.235 0.546 0.690
0.236 0.030 0.690
0.282 0.454 0.310
0.718 0.546 0.690
0.764 0.970 0.310
0.765 0.454 0.310

AcTlBPd4 | Alexandria via LeMat-Bulk | PBE-GGA | optimized geometry; crystal system = cubic; E_form = 0.7197 eV per atom
1.0
0.000 5.093 5.093
5.093 0.000 5.093
5.093 5.093 0.000
Ac Tl B Pd
1 1 1 4
Direct
0.000 0.000 0.000
0.250 0.250 0.250
0.500 0.500 0.500
0.393 0.393 0.393
0.393 0.393 0.821
0.393 0.821 0.393
0.821 0.393 0.393

Ac2TlBPd6 | Alexandria via LeMat-Bulk | PBE-GGA | optimized geometry; crystal system = orthorhombic; E_form = -0.6231 eV per atom
1.0
6.037 0.000 0.000
0.000 8.958 0.000
0.000 0.000 7.691
Ac Tl B Pd
4 2 2 12
Direct
0.250 0.024 0.226
0.250 0.476 0.226
0.750 0.524 0.774
0.750 0.976 0.774
0.250 0.750 0.836
0.750 0.250 0.164
0.250 0.250 0.668
0.750 0.750 0.332
0.017 0.750 0.510
0.021 0.250 0.878
0.250 0.014 0.639
0.250 0.486 0.639
0.479 0.250 0.878
0.483 0.750 0.510
0.517 0.250 0.490
0.521 0.750 0.122
0.750 0.514 0.361
0.750 0.986 0.361
0.979 0.750 0.122
0.983 0.250 0.490

Ac2ZnBPd6 | Alexandria via LeMat-Bulk | PBE-GGA | optimized geometry; crystal system = monoclinic; E_form = -0.6889 eV per atom
1.0
5.138 -2.952 0.000
5.138 2.952 0.000
-3.484 0.000 6.453
Ac Zn B Pd
2 1 1 6
Direct
0.226 0.226 0.183
0.774 0.774 0.817
0.500 0.500 0.000
0.000 0.000 0.500
0.234 0.234 0.679
0.235 0.721 0.686
0.279 0.765 0.314
0.721 0.235 0.686
0.765 0.279 0.314
0.766 0.766 0.321